## one
This record from Alexandria describes a geometry-optimized TbPr3Sb3 structure. The functional is PBE.

It has space group R-3 (No. 148, hexagonal axes), with a = 9.2591 Å, b = 9.2591 Å, c = 19.0635 Å, α = 90.00°, β = 90.00° and γ = 120.00°. Symmetry generates all atoms from Tb at (0.0000, 0.0000, 0.1673), Pr at (0.0058, 0.7387, 0.5876) and Sb at (0.0055, 0.6156, 0.4222).



## two
This record from Alexandria describes a geometry-optimized TbPr3Sb3 structure. The functional is PBE.

It has space group P2_13 (No. 198), with a = 9.5057 Å, b = 9.5057 Å, c = 9.5057 Å, α = 90.00°, β = 90.00° and γ = 90.00°. Symmetry generates all atoms from Tb at (0.0717, 0.4283, 0.5717), Pr at (0.0671, 0.5671, 0.9329), Pr at (0.1775, 0.1775, 0.1775), Pr at (0.1795, 0.8205, 0.3205) and Sb at (0.0018, 0.7441, 0.6284).



Stability, lowest: one



## one
This record from Alexandria describes a geometry-optimized Pr3Sb2Te structure. The functional is PBE.

It has space group C2/c (No. 15), with a = 7.8878 Å, b = 13.6702 Å, c = 7.8796 Å, α = 90.00°, β = 109.51° and γ = 90.00°. Symmetry generates all atoms from Pr at (0.2423, 0.0858, 0.9997), Pr at (0.2500, 0.2500, 0.5000), Sb at (0.0000, 0.0836, 0.2500), Sb at (0.0000, 0.2517, 0.7500) and Te at (0.0000, 0.4179, 0.2500).



## two
This record from Alexandria describes a geometry-optimized Pr3Sb2Te structure. The functional is PBE.

It has space group C2/m (No. 12), with a = 17.5333 Å, b = 4.4297 Å, c = 10.9918 Å, α = 90.00°, β = 109.81° and γ = 90.00°. Symmetry generates all atoms from Pr at (0.0297, 0.0000, 0.3035), Pr at (0.1433, 0.5000, 0.0248), Pr at (0.1971, 0.5000, 0.6380), Sb at (0.1653, 0.0000, 0.8293), Sb at (0.1651, 0.5000, 0.3295), Te at (0.0000, 0.0000, 0.0000) and Te at (0.0000, 0.5000, 0.5000).



Stability, lowest: two



## one
This record from Alexandria describes a geometry-optimized Pr5Sb4Te structure. The functional is PBE.

It has space group Immm (No. 71), with a = 4.5575 Å, b = 6.4372 Å, c = 22.7979 Å, α = 90.00°, β = 90.00° and γ = 90.00°. Symmetry generates all atoms from Pr at (0.0000, 0.0000, 0.0000), Pr at (0.0000, 0.0000, 0.1997), Pr at (0.0000, 0.0000, 0.3962), Sb at (0.0000, 0.5000, 0.2003), Sb at (0.0000, 0.5000, 0.4007) and Te at (0.0000, 0.5000, 0.0000).



## two
This record from Alexandria describes a geometry-optimized Pr5Sb4Te structure. The functional is PBE.

It has space group I4/mmm (No. 139), with a = 4.5537 Å, b = 4.5537 Å, c = 32.2130 Å, α = 90.00°, β = 90.00° and γ = 90.00°. Symmetry generates all atoms from Pr at (0.0000, 0.0000, 0.0000), Pr at (0.0000, 0.0000, 0.2002), Pr at (0.0000, 0.0000, 0.3980), Sb at (0.0000, 0.0000, 0.0991), Sb at (0.0000, 0.0000, 0.2998) and Te at (0.0000, 0.0000, 0.5000).



Stability, lowest: two



## one
This record from Alexandria describes a geometry-optimized PrThSb2 structure. The functional is PBE.

It has space group P4/mmm (No. 123), with a = 3.8801 Å, b = 3.8801 Å, c = 7.8500 Å, α = 90.00°, β = 90.00° and γ = 90.00°. Symmetry generates all atoms from Pr at (0.0000, 0.0000, 0.0000), Th at (0.0000, 0.0000, 0.5000) and Sb at (0.5000, 0.5000, 0.2557).



## two
This record from Alexandria describes a geometry-optimized PrThSb2 structure. The functional is PBE.

It has space group R3m (No. 160, hexagonal axes), with a = 4.4075 Å, b = 4.4075 Å, c = 23.7520 Å, α = 90.00°, β = 90.00° and γ = 120.00°. Symmetry generates all atoms from Pr at (0.0000, 0.0000, 0.0000), Th at (0.0000, 0.0000, 0.1717), Sb at (0.0000, 0.0000, 0.4200) and Sb at (0.0000, 0.0000, 0.5868).



## three
This record from Alexandria describes a geometry-optimized PrThSb2 structure. The functional is PBE.

It has space group I4_1/amd (No. 141, origin choice 2), with a = 6.4066 Å, b = 6.4066 Å, c = 12.8096 Å, α = 90.00°, β = 90.00° and γ = 90.00°. Symmetry generates all atoms from Pr at (0.0000, 0.2500, 0.3750), Th at (0.0000, 0.2500, 0.8750) and Sb at (0.0000, 0.2500, 0.1232).



Stability, lowest: one